Record 1
{"formula": "Ta2AgOs", "functional": "PBE-GGA", "state": "relaxed", "total_energy_ev_per_atom": -9.36, "e_form_ev_per_atom": 0.090, "sg": "No. 10", "lattice_angstrom": [[2.919, 0.000, 0.000], [0.000, 4.074, 0.000], [-0.673, 0.000, 5.732]], "species": ["Ta", "Ta", "Ag", "Os"], "frac_coords": [[0.054, 0.000, 0.272], [0.946, 0.000, 0.728], [0.500, 0.500, 0.000], [0.500, 0.500, 0.500]]}

---

Record 2
{"formula": "Ta2AgOs", "functional": "PBE-GGA", "state": "relaxed", "total_energy_ev_per_atom": -9.11, "e_form_ev_per_atom": 0.334, "sg": "No. 216", "lattice_angstrom": [[0.000, 3.231, 3.231], [3.231, 0.000, 3.231], [3.231, 3.231, 0.000]], "species": ["Ta", "Ta", "Ag", "Os"], "frac_coords": [[0.000, 0.000, 0.000], [0.250, 0.250, 0.250], [0.750, 0.750, 0.750], [0.500, 0.500, 0.500]]}

---

Record 3
{"formula": "Ta2AgOs", "functional": "PBE-GGA", "state": "relaxed", "total_energy_ev_per_atom": -9.23, "e_form_ev_per_atom": 0.214, "sg": "No. 35", "lattice_angstrom": [[1.599, -2.311, 0.000], [1.599, 2.311, 0.000], [0.000, 0.000, 9.303]], "species": ["Ta", "Ta", "Ag", "Os"], "frac_coords": [[0.000, 0.000, 0.000], [0.500, 0.500, 0.255], [0.500, 0.500, 0.739], [0.000, 0.000, 0.480]]}

---

Record 4
{"formula": "TaAg2Os", "functional": "PBE-GGA", "state": "relaxed", "total_energy_ev_per_atom": -6.61, "e_form_ev_per_atom": 0.586, "sg": "No. 65", "lattice_angstrom": [[1.465, -2.308, 0.000], [1.465, 2.308, 0.000], [0.000, 0.000, 10.026]], "species": ["Ta", "Ag", "Ag", "Os"], "frac_coords": [[0.000, 0.000, 0.000], [0.500, 0.500, 0.253], [0.500, 0.500, 0.747], [0.000, 0.000, 0.500]]}

---

Record 5
{"formula": "TaAgOs3", "functional": "PBE-GGA", "state": "relaxed", "total_energy_ev_per_atom": -6.82, "e_form_ev_per_atom": 2.855, "sg": "No. 221", "lattice_angstrom": [[4.651, 0.000, 0.000], [0.000, 4.651, 0.000], [0.000, 0.000, 4.651]], "species": ["Ta", "Ag", "Os", "Os", "Os"], "frac_coords": [[0.000, 0.000, 0.000], [0.500, 0.500, 0.500], [0.000, 0.500, 0.500], [0.500, 0.000, 0.500], [0.500, 0.500, 0.000]]}

---

Record 6
{"formula": "TaAgOs2", "functional": "PBE-GGA", "state": "relaxed", "total_energy_ev_per_atom": -9.07, "e_form_ev_per_atom": 0.220, "sg": "No. 99", "lattice_angstrom": [[2.797, 0.000, 0.000], [0.000, 2.797, 0.000], [0.000, 0.000, 8.228]], "species": ["Ta", "Ag", "Os", "Os"], "frac_coords": [[0.000, 0.000, 0.000], [0.500, 0.500, 0.268], [0.000, 0.000, 0.534], [0.500, 0.500, 0.739]]}

---

Record 7
{"formula": "TaAgOs2", "functional": "PBE-GGA", "state": "relaxed", "total_energy_ev_per_atom": -8.97, "e_form_ev_per_atom": 0.320, "sg": "No. 139", "lattice_angstrom": [[-2.023, 2.023, 3.869], [2.023, -2.023, 3.869], [2.023, 2.023, -3.869]], "species": ["Ta", "Ag", "Os", "Os"], "frac_coords": [[0.000, 0.000, 0.000], [0.500, 0.500, 0.000], [0.250, 0.750, 0.500], [0.750, 0.250, 0.500]]}

---

Record 8
{"formula": "TaAgOs2", "functional": "PBE-GGA", "state": "relaxed", "total_energy_ev_per_atom": -9.05, "e_form_ev_per_atom": 0.246, "sg": "No. 25", "lattice_angstrom": [[2.826, 0.000, 0.000], [0.000, 3.968, 0.000], [0.000, 0.000, 5.679]], "species": ["Ta", "Ag", "Os", "Os"], "frac_coords": [[0.000, 0.000, 0.000], [0.500, 0.500, 0.268], [0.000, 0.000, 0.541], [0.500, 0.500, 0.749]]}

---

Record 9
{"formula": "TaAg2Os", "functional": "PBE-GGA", "state": "relaxed", "total_energy_ev_per_atom": -6.96, "e_form_ev_per_atom": 0.238, "sg": "No. 6", "lattice_angstrom": [[3.074, 0.000, 0.000], [0.000, 3.689, 0.000], [-0.030, 0.000, 6.060]], "species": ["Ta", "Ag", "Ag", "Os"], "frac_coords": [[0.000, 0.000, 0.000], [0.000, 0.000, 0.473], [0.500, 0.500, 0.708], [0.501, 0.500, 0.188]]}

---

Record 10
{"formula": "TaAg2Os", "functional": "PBE-GGA", "state": "relaxed", "total_energy_ev_per_atom": -6.69, "e_form_ev_per_atom": 0.511, "sg": "No. 166", "lattice_angstrom": [[1.397, 0.806, 9.889], [-1.397, 0.806, 9.889], [0.000, -1.613, 9.889]], "species": ["Ta", "Ag", "Ag", "Os"], "frac_coords": [[0.000, 0.000, 0.000], [0.248, 0.248, 0.248], [0.752, 0.752, 0.752], [0.500, 0.500, 0.500]]}

---

Record 11
{"formula": "TaAg2Os", "functional": "PBE-GGA", "state": "relaxed", "total_energy_ev_per_atom": -6.65, "e_form_ev_per_atom": 0.545, "sg": "No. 65", "lattice_angstrom": [[2.658, -4.545, 0.000], [2.658, 4.545, 0.000], [0.000, 0.000, 2.770]], "species": ["Ta", "Ag", "Ag", "Os"], "frac_coords": [[0.000, 0.000, 0.000], [0.000, 0.500, 0.500], [0.500, 0.000, 0.500], [0.500, 0.500, 0.000]]}

---

Record 12
{"formula": "Ta2AgOs", "functional": "PBE-GGA", "state": "relaxed", "total_energy_ev_per_atom": -9.22, "e_form_ev_per_atom": 0.225, "sg": "No. 225", "lattice_angstrom": [[0.000, 3.242, 3.242], [3.242, 0.000, 3.242], [3.242, 3.242, 0.000]], "species": ["Ta", "Ta", "Ag", "Os"], "frac_coords": [[0.250, 0.250, 0.250], [0.750, 0.750, 0.750], [0.000, 0.000, 0.000], [0.500, 0.500, 0.500]]}